No. 1
## AgAsBr (PBE)

Data for AgAsBr after structural relaxation.

Cell lengths 6.6989, 6.6989, 6.6989 Å; angles 90.00, 90.00, 90.00 degrees
Space group F-43m (No. 216)
One atom of each set of equivalent atoms:
Ag  0.0000  0.0000  0.0000 x4
As  0.2500  0.2500  0.7500 x4
Br  0.2500  0.2500  0.2500 x4

Summary:
Polymorph energy (0 for the lowest one) (meV/atom): 587.1
Formation energy without anion corrections (kcal/mol of atoms): 12.201


No. 2
## Li4AcSi4 (PBE)

Data for Li4AcSi4 after structural relaxation.

Cell lengths 6.2031, 6.2031, 8.6934 Å; angles 90.00, 90.00, 90.00 degrees
Space group P4_2/nmc (No. 137, origin choice 2)
One atom of each set of equivalent atoms:
Li  0.0024  0.7500  0.1390 x8
Ac  0.2500  0.7500  0.7500 x2
Si  0.0669  0.2500  0.5643 x8

Summary:
Formation energy without anion corrections (kcal/mol of atoms): -5.927


No. 3
## PmTmCo2 (PBE)

Data for PmTmCo2 after structural relaxation.

Cell lengths 3.8670, 5.5973, 7.5371 Å; angles 90.00, 90.00, 90.00 degrees
Space group Pmc2_1 (No. 26)
One atom of each set of equivalent atoms:
Pm  0.0000  0.1323  0.0000 x2
Tm  0.5000  0.3695  0.6436 x2
Co  0.0000  0.3636  0.3539 x2
Co  0.5000  0.1672  0.2985 x2

Summary:
ΔE_f (eV per atom): -0.16
Polymorph energy (0 for the lowest one) (meV/atom): 0.0


No. 4
## LiLaPmBe (PBE)

Data for LiLaPmBe after structural relaxation.

Cell lengths 7.3384, 7.3384, 7.3384 Å; angles 90.00, 90.00, 90.00 degrees
Space group F-43m (No. 216)
One atom of each set of equivalent atoms:
Li  0.0000  0.0000  0.0000 x4
La  0.2500  0.2500  0.2500 x4
Pm  0.2500  0.2500  0.7500 x4
Be  0.0000  0.0000  0.5000 x4

Summary:
ΔE_f (eV per atom): 0.18


No. 5
## Al3AuO (PBE)

Data for Al3AuO after structural relaxation.

Cell lengths 4.7416, 4.7416, 4.7416 Å; angles 90.00, 90.00, 90.00 degrees
Space group Pm-3m (No. 221)
One atom of each set of equivalent atoms:
Al  0.0000  0.0000  0.5000 x3
Au  0.0000  0.0000  0.0000 x1
O  0.5000  0.5000  0.5000 x1

Summary:
Polymorph energy (0 for the lowest one) (meV/atom): 757.5
Formation energy without anion corrections (kcal/mol of atoms): 6.293


No. 6
## ErInNi2 (PBE)

Data for ErInNi2 after structural relaxation.

Cell lengths 4.5178, 4.5178, 3.3603 Å; angles 90.00, 90.00, 90.00 degrees
Space group P4/mmm (No. 123)
One atom of each set of equivalent atoms:
Er  0.0000  0.0000  0.0000 x1
In  0.5000  0.5000  0.0000 x1
Ni  0.0000  0.5000  0.5000 x2

Summary:
ΔE_f (eV per atom): -0.29


No. 7
## LaAsRuS (PBE)

Data for LaAsRuS after structural relaxation.

Cell lengths 4.4105, 4.4105, 8.9865 Å; angles 90.00, 90.00, 90.00 degrees
Space group P4/nmm (No. 129, origin choice 2)
One atom of each set of equivalent atoms:
La  0.2500  0.2500  0.1848 x2
As  0.2500  0.2500  0.6303 x2
Ru  0.2500  0.7500  0.5000 x2
S  0.2500  0.7500  0.0000 x2

Summary:
Formation energy without anion corrections (kcal/mol of atoms): -26.238


No. 8
## PrTh (PBE)

Data for PrTh after structural relaxation.

Cell lengths 4.0813, 4.0813, 4.0813 Å; angles 90.00, 90.00, 90.00 degrees
Space group Pm-3m (No. 221)
One atom of each set of equivalent atoms:
Pr  0.0000  0.0000  0.0000 x1
Th  0.5000  0.5000  0.5000 x1

Summary:
ΔE_f (eV per atom): 0.23
Polymorph energy (0 for the lowest one) (meV/atom): 216.0


No. 9
## LiAg6Sn2 (PBE)

Data for LiAg6Sn2 after structural relaxation.

Cell lengths 5.1136, 5.3252, 6.6322 Å; angles 84.45, 75.35, 80.09 degrees
Space group P-1 (No. 2)
One atom of each set of equivalent atoms:
Li  0.0000  0.0000  0.0000 x1
Ag  0.2263  0.4441  0.1071 x2
Ag  0.3267  0.6675  0.6803 x2
Ag  0.4387  0.8933  0.2095 x2
Sn  0.1277  0.2207  0.5629 x2

Summary:
ΔE_f (eV per atom): -0.05
Polymorph energy (0 for the lowest one) (meV/atom): 0.0


No. 10
## LaTi2Tc (PBE)

Data for LaTi2Tc after structural relaxation.

Cell lengths 3.1898, 3.1898, 7.9608 Å; angles 90.00, 90.00, 90.00 degrees
Space group P4/mmm (No. 123)
One atom of each set of equivalent atoms:
La  0.0000  0.0000  0.0000 x1
Ti  0.5000  0.5000  0.3219 x2
Tc  0.0000  0.0000  0.5000 x1

Summary:
ΔE_f (eV per atom): -0.12
Polymorph energy (0 for the lowest one) (meV/atom): 0.0


No. 11
## Hg12Pb6Au (PBE)

Data for Hg12Pb6Au after structural relaxation.

Cell lengths 14.2108, 14.2108, 9.3916 Å; angles 90.00, 90.00, 120.00 degrees
Space group R-3 (No. 148, hexagonal axes)
One atom of each set of equivalent atoms:
Hg  0.0163  0.3028  0.0283 x18
Hg  0.1072  0.5539  0.0877 x18
Pb  0.0852  0.1846  0.8002 x18
Au  0.0000  0.0000  0.0000 x3

Summary:
ΔE_f (eV per atom): 0.04


No. 12
## DyY2Sb (PBE)

Data for DyY2Sb after structural relaxation.

Cell lengths 4.0159, 4.0159, 7.1962 Å; angles 90.00, 90.00, 90.00 degrees
Space group P4/mmm (No. 123)
One atom of each set of equivalent atoms:
Dy  0.0000  0.0000  0.0000 x1
Y  0.5000  0.5000  0.2749 x2
Sb  0.0000  0.0000  0.5000 x1

Summary:
Polymorph energy (0 for the lowest one) (meV/atom): 97.9
Formation energy without anion corrections (kcal/mol of atoms): -11.130


| no. | mass density (g/cm³) | Fermi-level density of states (states/eV/atom) |
| --- | --- | --- |
| 1 | 5.80 | 1.179 |
| 2 | 3.64 | 0.223 |
| 3 | 8.79 | 1.067 |
| 4 | 5.04 | 1.619 |
| 5 | 4.58 | 0.000 |
| 6 | 9.67 | 0.609 |
| 7 | 6.59 | 0.323 |
| 8 | 9.11 | 2.260 |
| 9 | 8.61 | 0.170 |
| 10 | 6.82 | 1.314 |
| 11 | 11.67 | 0.336 |
| 12 | 6.61 | 1.397 |